Record 1
The following is a PBE calculation of a geometry-optimized PrH6C3O9 structure, from the Alexandria database.

Unit cell a=6.1763 b=7.7979 c=8.9335 alpha=98.35 beta=96.94 gamma=98.90
With the nearest neighbours (Å) after each atom.
Space group P-1 (No. 2)
Symmetry-distinct sites (fractional):
Pr 0.0160 0.3082 0.2937 x2  9 O 2.47-2.67
H 0.0286 0.3757 0.8780 x2  1 O 0.98
H 0.2181 0.6805 0.2073 x2  1 O 0.99
H 0.3510 0.7543 0.9964 x2  1 O 0.99
H 0.3729 0.9527 0.2733 x2  1 O 0.99
H 0.4211 0.0993 0.8034 x2  1 O 0.99
H 0.4380 0.6535 0.8501 x2  1 O 0.99
C 0.0832 0.0648 0.9673 x2  2 O 1.27
C 0.1139 0.9798 0.4799 x2  2 O 1.26-1.27
C 0.4439 0.5282 0.5704 x2  2 O 1.26-1.27
O 0.0776 0.5973 0.2021 x2  2 H 0.98-0.99
O 0.1342 0.2220 0.0381 x2  1 C 1.27
O 0.1542 0.0039 0.8471 x2  1 C 1.27
O 0.1861 0.8550 0.5333 x2  1 C 1.26
O 0.2099 0.0762 0.3954 x2  1 C 1.27
O 0.2332 0.4993 0.5525 x2  1 C 1.27
O 0.3053 0.6736 0.8979 x2  2 H 0.99
O 0.4176 0.8652 0.1960 x2  2 H 0.99
O 0.4286 0.4017 0.3075 x2  1 C 1.26

VASP energy ... -6.5584 eV per atom

Record 2
The following is a PBE calculation of a geometry-optimized Pr4HCO2 structure, from the Alexandria database.

Unit cell a=5.2123 b=5.2123 c=10.4520 alpha=90.00 beta=90.00 gamma=90.00
With the nearest neighbours (Å) after each atom.
Space group I-4m2 (No. 119)
Symmetry-distinct sites (fractional):
Pr 0.0000 0.0000 0.2388 x4  3 O 2.50-2.61, 2 C 2.61, 1 H 2.73
Pr 0.0000 0.5000 0.0004 x4  3 O 2.61-2.62, 2 H 2.61, 1 C 2.61
H 0.0000 0.0000 0.5000 x2  6 Pr 2.61-2.73
C 0.0000 0.5000 0.2500 x2  6 Pr 2.61
O 0.0000 0.0000 0.0000 x2  6 Pr 2.50-2.61
O 0.0000 0.5000 0.7500 x2  6 Pr 2.61-2.62

VASP energy ... -6.6485 eV per atom

Record 3
The following is a PBE calculation of a geometry-optimized RbHCO3 structure, from the Alexandria database.

Unit cell a=9.2892 b=6.9326 c=11.3674 alpha=90.00 beta=106.15 gamma=90.00
With the nearest neighbours (Å) after each atom.
Space group C2/c (No. 15)
Symmetry-distinct sites (fractional):
Rb 0.1391 0.1614 0.1338 x8  8 O 2.92-3.18
H 0.0274 0.3946 0.6509 x8  1 O 1.02
C 0.2275 0.3134 0.5497 x8  2 O 1.26-1.28
O 0.0388 0.4861 0.8161 x8  1 H 1.02
O 0.1166 0.2521 0.5854 x8  1 C 1.28
O 0.1970 0.0365 0.4118 x8  1 C 1.26

VASP energy ... -5.9747 eV per atom

Record 4
The following is a PBE calculation of a geometry-optimized RbHC2O4 structure, from the Alexandria database.

Unit cell a=4.4773 b=13.4977 c=8.4668 alpha=90.00 beta=107.20 gamma=90.00
With the nearest neighbours (Å) after each atom.
Space group P2_1/c (No. 14)
Symmetry-distinct sites (fractional):
Rb 0.1666 0.0638 0.2758 x4  7 O 2.89-3.16
H 0.1346 0.7302 0.9807 x4  1 O 1.08
C 0.3150 0.1589 0.7082 x4  2 O 1.26-1.28
C 0.3995 0.6735 0.6339 x4  2 O 1.23-1.32
O 0.1315 0.2329 0.6657 x4  1 C 1.28
O 0.2522 0.6010 0.5620 x4  1 C 1.23
O 0.2902 0.0756 0.6394 x4  1 C 1.26
O 0.3363 0.7334 0.0879 x4  1 H 1.08

VASP energy ... -6.6546 eV per atom

Record 5
The following is a PBE calculation of a geometry-optimized RbHCO2 structure, from the Alexandria database.

Unit cell a=4.7168 b=9.3849 c=7.5423 alpha=90.00 beta=90.00 gamma=90.00
With the nearest neighbours (Å) after each atom.
Space group Pbcm (No. 57)
Symmetry-distinct sites (fractional):
Rb 0.0691 0.2500 0.0000 x4  8 O 3.01-3.17
H 0.4373 0.5258 0.2500 x4  1 C 1.12
C 0.3809 0.5511 0.7500 x4  1 H 1.12
O 0.1331 0.0022 0.2500 x4  1 C 1.27
O 0.4435 0.6828 0.7500 x4  1 C 1.27

VASP energy ... -5.9848 eV per atom

Record 6
The following is a PBE calculation of a geometry-optimized SbHC2O5 structure, from the Alexandria database.

Unit cell a=6.0397 b=6.5389 c=11.4035 alpha=90.00 beta=90.00 gamma=90.00
With the nearest neighbours (Å) after each atom.
Space group P2_12_12_1 (No. 19)
Symmetry-distinct sites (fractional):
Sb 0.0771 0.0205 0.4954 x4  1 O 2.02
H 0.1148 0.3957 0.5444 x4  1 O 0.99
C 0.1370 0.0356 0.7718 x4  2 O 1.25-1.29
C 0.1510 0.0658 0.2245 x4  2 O 1.26-1.27
O 0.0046 0.1166 0.2977 x4  1 C 1.26
O 0.0063 0.5959 0.7997 x4  1 C 1.25
O 0.1187 0.0504 0.8840 x4  1 C 1.29
O 0.1390 0.0944 0.1142 x4  1 C 1.27
O 0.2180 0.2995 0.5059 x4  1 H 0.99

VASP energy ... -6.7826 eV per atom

Record 7
The following is a PBE calculation of a geometry-optimized Si6Sb2H36C12O3 structure, from the Alexandria database.

Unit cell a=10.1536 b=10.2412 c=17.1869 alpha=87.36 beta=89.67 gamma=60.44
With the nearest neighbours (Å) after each atom.
Space group P-1 (No. 2)
Symmetry-distinct sites (fractional):
Si 0.0640 0.2371 0.3577 x2  1 O 1.65
Si 0.0682 0.3250 0.1750 x2  1 O 1.66
Si 0.1253 0.9150 0.8539 x2  1 O 1.66
Si 0.2236 0.9098 0.6756 x2  1 O 1.65
Si 0.3669 0.4802 0.8514 x2  1 O 1.66
Si 0.3733 0.4756 0.6644 x2  1 O 1.66
Sb 0.1274 0.6799 0.9208 x2  3 Si 2.61
Sb 0.1916 0.7267 0.5875 x2  3 Si 2.60-2.61
H 0.0192 0.4976 0.3781 x2  1 C 1.10
H 0.0255 0.5765 0.1274 x2  1 C 1.10
H 0.0393 0.8691 0.3417 x2  1 C 1.10
H 0.0765 0.8261 0.1858 x2  1 C 1.10
H 0.0813 0.1341 0.5844 x2  1 C 1.10
H 0.0868 0.4076 0.7894 x2  1 C 1.10
H 0.0957 0.1876 0.6798 x2  1 C 1.10
H 0.0978 0.3778 0.4631 x2  1 C 1.10
H 0.1109 0.5274 0.2222 x2  1 C 1.10
H 0.1342 0.8995 0.1052 x2  1 C 1.10
H 0.1393 0.9586 0.2007 x2  1 C 1.10
H 0.1739 0.0086 0.9760 x2  1 C 1.10
H 0.2082 0.9556 0.3652 x2  1 C 1.10
H 0.2150 0.0274 0.4560 x2  1 C 1.10
H 0.2152 0.3619 0.3827 x2  1 C 1.10
H 0.2334 0.0736 0.8926 x2  1 C 1.10
H 0.2399 0.3367 0.6263 x2  1 C 1.10
H 0.2662 0.2610 0.0748 x2  1 C 1.10
H 0.2895 0.0951 0.1251 x2  1 C 1.10
H 0.3282 0.2646 0.8938 x2  1 C 1.10
H 0.3291 0.0333 0.3781 x2  1 C 1.10
H 0.3484 0.2111 0.1705 x2  1 C 1.10
H 0.3481 0.6726 0.3162 x2  1 C 1.10
H 0.3477 0.8860 0.9310 x2  1 C 1.10
H 0.3689 0.5672 0.1617 x2  1 C 1.10
H 0.3758 0.3207 0.5561 x2  1 C 1.10
H 0.3944 0.5716 0.4080 x2  1 C 1.10
H 0.4074 0.4775 0.3213 x2  1 C 1.10
H 0.4309 0.9077 0.5958 x2  1 C 1.10
H 0.4311 0.9687 0.6914 x2  1 C 1.10
H 0.4362 0.2124 0.6459 x2  1 C 1.10
H 0.4443 0.2888 0.9620 x2  1 C 1.10
H 0.4493 0.4760 0.0745 x2  1 C 1.10
H 0.4785 0.7973 0.1273 x2  1 C 1.10
H 0.4926 0.2260 0.3241 x2  1 C 1.10
H 0.5004 0.3701 0.1651 x2  1 C 1.10
C 0.0248 0.5246 0.1848 x2  3 H 1.10
C 0.0762 0.1088 0.6468 x2  3 H 1.10
C 0.0755 0.9278 0.1611 x2  3 H 1.10
C 0.1017 0.3829 0.3991 x2  3 H 1.10
C 0.2180 0.0453 0.3926 x2  3 H 1.10
C 0.2304 0.9756 0.9197 x2  3 H 1.10
C 0.2611 0.2121 0.1324 x2  3 H 1.10
C 0.3538 0.3224 0.6188 x2  3 H 1.10
C 0.4167 0.8873 0.6579 x2  3 H 1.10
C 0.4197 0.2916 0.8995 x2  3 H 1.10
C 0.4258 0.5640 0.3464 x2  3 H 1.10
C 0.4732 0.4789 0.1366 x2  3 H 1.10
O 0.0721 0.2451 0.2616 x2  2 Si 1.65-1.66
O 0.2153 0.8765 0.7701 x2  2 Si 1.65-1.66
O 0.3349 0.4707 0.7579 x2  2 Si 1.66

VASP energy ... -5.2596 eV per atom

Record 8
The following is a PBE calculation of a geometry-optimized Sc8HC3O3 structure, from the Alexandria database.

Unit cell a=6.4855 b=6.4855 c=15.8605 alpha=90.00 beta=90.00 gamma=120.00
With the nearest neighbours (Å) after each atom.
Space group R-3m (No. 166, hexagonal axes)
Symmetry-distinct sites (fractional):
Sc 0.0000 0.0000 0.2467 x6  3 C 2.26, 3 O 2.32
Sc 0.0082 0.5041 0.7511 x18  2 C 2.26, 1 H 2.32, 2 O 2.32
H 0.0000 0.0000 0.5000 x3  6 Sc 2.32
C 0.0000 0.5000 0.5000 x9  6 Sc 2.26
O 0.0000 0.5000 0.0000 x9  6 Sc 2.32

VASP energy ... -7.9646 eV per atom

Question: Look up the VASP energy of the seventh one.
Answer: -5.2596 eV per atom